{"formula": "Sc6Al16Pd7", "functional": "PBE", "state": "optimized geometry", "dos_ef_per_ev_cell": 15.8, "total_energy_ev_per_atom": -5.359, "e_form_ev_per_atom": -0.731, "lattice_angstrom": [[0.0000, 6.2366, 6.2366], [6.2366, 0.0000, 6.2366], [6.2366, 6.2366, 0.0000]], "species": ["Sc", "Sc", "Sc", "Sc", "Sc", "Sc", "Al", "Al", "Al", "Al", "Al", "Al", "Al", "Al", "Al", "Al", "Al", "Al", "Al", "Al", "Al", "Al", "Pd", "Pd", "Pd", "Pd", "Pd", "Pd", "Pd"], "frac_coords": [[0.1913, 0.1913, 0.8087], [0.1913, 0.8087, 0.1913], [0.1913, 0.8087, 0.8087], [0.8087, 0.1913, 0.1913], [0.8087, 0.1913, 0.8087], [0.8087, 0.8087, 0.1913], [0.1390, 0.6203, 0.6203], [0.1655, 0.1655, 0.1655], [0.1655, 0.1655, 0.5035], [0.1655, 0.5035, 0.1655], [0.3797, 0.3797, 0.3797], [0.3797, 0.3797, 0.8610], [0.3797, 0.8610, 0.3797], [0.4965, 0.8345, 0.8345], [0.5035, 0.1655, 0.1655], [0.6203, 0.1390, 0.6203], [0.6203, 0.6203, 0.1390], [0.6203, 0.6203, 0.6203], [0.8345, 0.4965, 0.8345], [0.8345, 0.8345, 0.4965], [0.8345, 0.8345, 0.8345], [0.8610, 0.3797, 0.3797], [0.0000, 0.0000, 0.5000], [0.0000, 0.5000, 0.0000], [0.0000, 0.5000, 0.5000], [0.5000, 0.0000, 0.0000], [0.5000, 0.0000, 0.5000], [0.5000, 0.5000, 0.0000], [0.5000, 0.5000, 0.5000]]}